No. 1
! PBE K2BiAuF6, relaxed; values from VASP
&SYSTEM
  ibrav = 0, nat = 10, ntyp = 4
/
ATOMIC_SPECIES
K 39.10 K.upf
Bi 208.98 Bi.upf
Au 196.97 Au.upf
F 19.00 F.upf
CELL_PARAMETERS angstrom
0.0000 4.7180 4.7180
4.7180 0.0000 4.7180
4.7180 4.7180 0.0000
ATOMIC_POSITIONS angstrom
K 2.3590 2.3590 2.3590
K 7.0769 7.0769 7.0769
Bi 0.0000 0.0000 0.0000
Au 4.7180 4.7180 4.7180
F 4.7180 4.7180 2.2579
F 4.7180 2.2579 4.7180
F 7.1781 4.7180 4.7180
F 2.2579 4.7180 4.7180
F 4.7180 7.1781 4.7180
F 4.7180 4.7180 7.1781
! Uncorrected energy in eV per atom: -4.14
! Total magnetic moment in μB/cell: 0.00
! E_form (uncorrected) in eV per atom: -2.081
! Symmetry: Fm-3m, No. 225

No. 2
! PBE BiAuNF2, relaxed; values from VASP
&SYSTEM
  ibrav = 0, nat = 5, ntyp = 4
/
ATOMIC_SPECIES
Bi 208.98 Bi.upf
Au 196.97 Au.upf
N 14.01 N.upf
F 19.00 F.upf
CELL_PARAMETERS angstrom
4.4774 0.0000 0.0000
0.0000 4.4774 0.0000
0.0000 0.0000 4.3958
ATOMIC_POSITIONS angstrom
Bi 0.0000 0.0000 0.0000
Au 2.2387 2.2387 2.1979
N 0.0000 0.0000 2.1979
F 0.0000 2.2387 0.0000
F 2.2387 0.0000 0.0000
! Uncorrected energy in eV per atom: -4.02
! Total magnetic moment in μB/cell: 0.00
! E_form (uncorrected) in eV per atom: -0.177
! Symmetry: P4/mmm, No. 123

No. 3
! PBE BiAuNF2, relaxed; values from VASP
&SYSTEM
  ibrav = 0, nat = 5, ntyp = 4
/
ATOMIC_SPECIES
Bi 208.98 Bi.upf
Au 196.97 Au.upf
N 14.01 N.upf
F 19.00 F.upf
CELL_PARAMETERS angstrom
4.5692 0.0000 0.0000
0.0000 4.5692 0.0000
0.0000 0.0000 3.9428
ATOMIC_POSITIONS angstrom
Bi 0.0000 0.0000 0.0000
Au 2.2846 2.2846 1.9714
N 2.2846 2.2846 0.0000
F 0.0000 2.2846 1.9714
F 2.2846 0.0000 1.9714
! Uncorrected energy in eV per atom: -3.77
! Total magnetic moment in μB/cell: 0.00
! E_form (uncorrected) in eV per atom: 0.079
! Symmetry: P4/mmm, No. 123

- Which of these has the highest E_form (uncorrected)?
  number 3

Copy entry 2 word for word.
! PBE BiAuNF2, relaxed; values from VASP
&SYSTEM
  ibrav = 0, nat = 5, ntyp = 4
/
ATOMIC_SPECIES
Bi 208.98 Bi.upf
Au 196.97 Au.upf
N 14.01 N.upf
F 19.00 F.upf
CELL_PARAMETERS angstrom
4.4774 0.0000 0.0000
0.0000 4.4774 0.0000
0.0000 0.0000 4.3958
ATOMIC_POSITIONS angstrom
Bi 0.0000 0.0000 0.0000
Au 2.2387 2.2387 2.1979
N 0.0000 0.0000 2.1979
F 0.0000 2.2387 0.0000
F 2.2387 0.0000 0.0000
! Uncorrected energy in eV per atom: -4.02
! Total magnetic moment in μB/cell: 0.00
! E_form (uncorrected) in eV per atom: -0.177
! Symmetry: P4/mmm, No. 123